Ba3MoF | GGA+U | optimized geometry

Summary:
ΔE to the lowest computed polymorph in meV/atom: 0
E_tot in eV/atom: -3.57
SG: Pm-3m, No. 221

Cell lengths 5.699, 5.699, 5.699 Å; angles 90.00, 90.00, 90.00 degrees
Fractional positions:
Ba  0.000  0.500  0.000
Ba  0.500  0.000  0.000
Mo  0.500  0.500  0.500
Ba  0.000  0.000  0.500
F  0.000  0.000  0.000